Computed, not measured: a geometry-optimized LiInTc2 structure at the PBE level of DFT.

As for the formation energy: 1.2 eV/f.u.

Unit cell a=2.716 b=4.601 c=5.179 alpha=90.00 beta=102.89 gamma=90.00
Space group P2/m (No. 10)
Asymmetric unit:
Li: 0.000 0.000 0.000 (multiplicity 1)
In: 0.500 0.000 0.500 (multiplicity 1)
Tc: 0.261 0.500 0.768 (multiplicity 2)


Computed, not measured: a geometry-optimized TeIrI2Cl structure at the PBE level of DFT.

Its energy above the lowest structure with this stoichiometry is 0.0 meV/atom.

Unit cell a=5.551 b=5.551 c=5.061 alpha=90.00 beta=90.00 gamma=90.00
Space group P4/mmm (No. 123)
Asymmetric unit:
Te: 0.000 0.000 0.000 (multiplicity 1)
Ir: 0.000 0.000 0.500 (multiplicity 1)
I: 0.000 0.500 0.500 (multiplicity 2)
Cl: 0.500 0.500 0.000 (multiplicity 1)


Computed, not measured: a geometry-optimized CsZnHg structure at the PBE level of DFT.

Its energy above the lowest structure with this stoichiometry is 83.9 meV/atom. As for the formation energy: 0.0 eV/f.u.

Unit cell a=4.675 b=4.688 c=6.691 alpha=92.37 beta=108.17 gamma=115.80
Space group P1 (No. 1)
Asymmetric unit:
Cs: 0.000 0.000 0.000 (multiplicity 1)
Zn: 0.419 0.208 0.579 (multiplicity 1)
Hg: 0.030 0.539 0.514 (multiplicity 1)